Density functional theory data (GGA-PBE) for crystalline CoRh2Se2 at its relaxed geometry.

Unit cell a=6.833 b=6.833 c=3.441 alpha=90.00 beta=90.00 gamma=90.00
Element x y z (fractional)
Co: 0.000 0.000 0.000
Co: 0.500 0.500 0.000
Rh: 0.357 0.857 0.000
Rh: 0.857 0.643 0.000
Rh: 0.643 0.143 0.000
Rh: 0.143 0.357 0.000
Se: 0.165 0.665 0.500
Se: 0.665 0.835 0.500
Se: 0.835 0.335 0.500
Se: 0.335 0.165 0.500

Results
* density of states at the Fermi level: 1.92 states/eV per atom
* calculated volume: 80 Å³/f.u.
* space-group type: P4/mbm, No. 127
* total magnetization: 4.5 Bohr magnetons per cell
* E_form (uncorrected): 1.25 eV per formula unit

---

Density functional theory data (GGA-PBE) for crystalline AcPrTe at its relaxed geometry.

Unit cell a=4.614 b=4.614 c=6.114 alpha=90.00 beta=90.00 gamma=90.00
Element x y z (fractional)
Ac: 0.000 0.000 0.000
Pr: 0.500 0.500 0.500
Te: 0.500 0.500 0.000

Results
* ΔE to the lowest computed polymorph: 0.118 eV/atom
* density of states at the Fermi level: 1.40 states/eV per atom
* calculated volume: 130 Å³/f.u.
* space-group type: P4/mmm, No. 123
* total magnetization: 0.0 Bohr magnetons per cell
* E_form (uncorrected): -2.00 eV per formula unit

---

Density functional theory data (GGA-PBE) for crystalline EuDyCuPd at its relaxed geometry.

Unit cell a=5.024 b=5.024 c=5.024 alpha=60.00 beta=60.00 gamma=60.00
Element x y z (fractional)
Eu: 0.000 0.000 0.000
Cu: 0.250 0.250 0.250
Pd: 0.750 0.750 0.750
Dy: 0.500 0.500 0.500

Results
* density of states at the Fermi level: 1.71 states/eV per atom
* E_form: -0.431 eV per atom
* calculated volume: 90 Å³/f.u.
* space-group type: F-43m, No. 216
* total magnetization: 7.0 Bohr magnetons per cell

---

Density functional theory data (GGA-PBE) for crystalline CaBrCl at its relaxed geometry.

Unit cell a=4.220 b=7.174 c=7.306 alpha=111.15 beta=90.00 gamma=89.90
Element x y z (fractional)
Ca: 0.938 0.927 0.023
Ca: 0.438 0.925 0.511
Br: 0.937 0.162 0.768
Br: 0.438 0.689 0.765
Cl: 0.437 0.130 0.254
Cl: 0.938 0.721 0.279

Results
* density of states at the Fermi level: 0.00 states/eV per atom
* calculated volume: 103 Å³/f.u.
* space-group type: P-1, No. 2
* total magnetization: 0.0 Bohr magnetons per cell
* E_form (uncorrected): -6.65 eV per formula unit

---

Density functional theory data (GGA-PBE) for crystalline Ti2SnBiSe at its relaxed geometry.

Unit cell a=4.842 b=5.618 c=4.842 alpha=90.00 beta=90.00 gamma=90.00
Element x y z (fractional)
Ti: 0.000 0.000 0.500
Ti: 0.500 0.000 0.000
Bi: 0.500 0.500 0.500
Se: 0.000 0.000 0.000
Sn: 0.000 0.500 0.000

Results
* density of states at the Fermi level: 1.13 states/eV per atom
* calculated volume: 132 Å³/f.u.
* space-group type: P4/mmm, No. 123
* total magnetization: 3.4 Bohr magnetons per cell
* E_form (uncorrected): 1.14 eV per formula unit

---

Density functional theory data (GGA-PBE) for crystalline Al3ZnCl at its relaxed geometry.

Unit cell a=5.081 b=5.081 c=5.081 alpha=90.00 beta=90.00 gamma=90.00
Element x y z (fractional)
Zn: 0.500 0.500 0.500
Al: 0.000 0.500 0.000
Al: 0.000 0.000 0.500
Al: 0.500 0.000 0.000
Cl: 0.000 0.000 0.000

Results
* ΔE to the lowest computed polymorph: 0.429 eV/atom
* density of states at the Fermi level: 0.48 states/eV per atom
* calculated volume: 131 Å³/f.u.
* space-group type: Pm-3m, No. 221
* total magnetization: 0.0 Bohr magnetons per cell
* E_form (uncorrected): 3.59 eV per formula unit